This record from OQMD describes KFe4Tc3 after structural relaxation. The functional is GGA-PBE.

Output
E   -60.206 eV per formula unit

a = 8.1740 Å, b = 8.1740 Å, c = 8.1740 Å
α = 162.09°, β = 135.29°, γ = 48.53°
Closest atoms and distances in Å follow each position.
Positions (direct):
K: 0.0000 0.0000 0.0000  2 K 2.54
Fe: 0.1746 0.8583 0.3163  3 Fe 2.28-2.54, 1 Tc 2.41
Fe: 0.4580 0.1417 0.3163  3 Fe 2.28-2.54, 1 Tc 2.41
Fe: 0.5420 0.8583 0.6837  3 Fe 2.28-2.54, 1 Tc 2.41
Fe: 0.8254 0.1417 0.6837  3 Fe 2.28-2.54, 1 Tc 2.41
Tc: 0.2160 0.7160 0.5000  6 Fe 2.41-2.59, 2 Tc 2.54
Tc: 0.5000 0.5000 0.0000  2 Tc 2.54, 8 Fe 2.72
Tc: 0.7840 0.2840 0.5000  6 Fe 2.41-2.59, 2 Tc 2.54

This record from OQMD describes KDyCuTe3 after structural relaxation. The functional is GGA-PBE.

Output
E   -24.339 eV per formula unit

a = 9.8892 Å, b = 4.2224 Å, c = 10.2706 Å
α = 90.00°, β = 112.12°, γ = 90.00°
Closest atoms and distances in Å follow each position.
Positions (direct):
K: 0.2157 0.2500 0.2452  7 Te 3.54-3.71
K: 0.7843 0.7500 0.7548  7 Te 3.54-3.71
Dy: 0.3190 0.7500 0.8543  6 Te 3.04-3.10
Dy: 0.6810 0.2500 0.1457  6 Te 3.04-3.10
Cu: 0.0824 0.2500 0.5966  4 Te 2.62-2.65, 2 Cu 2.93
Cu: 0.9176 0.7500 0.4034  4 Te 2.62-2.65, 2 Cu 2.93
Te: 0.0990 0.2500 0.8574  1 Cu 2.62
Te: 0.2038 0.7500 0.5289  3 Cu 2.63-2.65
Te: 0.4676 0.7500 0.1761  3 Dy 3.07-3.08
Te: 0.5324 0.2500 0.8239  3 Dy 3.07-3.08
Te: 0.7962 0.2500 0.4711  3 Cu 2.63-2.65
Te: 0.9010 0.7500 0.1426  1 Cu 2.62

This record from OQMD describes CdCoHgBi after structural relaxation. The functional is GGA-PBE.

Output
Excess energy over the best structure of this formula in the dataset   0 meV/atom

a = 4.9450 Å, b = 4.9450 Å, c = 4.9450 Å
α = 60.00°, β = 60.00°, γ = 60.00°
Closest atoms and distances in Å follow each position.
Positions (direct):
Cd: 0.0000 0.0000 0.0000  4 Hg 3.03, 4 Bi 3.03
Co: 0.5000 0.5000 0.5000  4 Hg 3.03, 4 Bi 3.03
Hg: 0.7500 0.7500 0.7500  4 Co 3.03, 4 Cd 3.03
Bi: 0.2500 0.2500 0.2500  4 Co 3.03, 4 Cd 3.03

This record from OQMD describes BeWN2 after structural relaxation. The functional is GGA-PBE.

Output
E   -34.894 eV per formula unit

a = 5.0276 Å, b = 6.1885 Å, c = 5.0737 Å
α = 90.00°, β = 90.00°, γ = 90.00°
Closest atoms and distances in Å follow each position.
Positions (direct):
Be: 0.0893 0.1228 0.0000  4 N 1.74-1.79
Be: 0.4107 0.6228 0.5000  4 N 1.74-1.79
Be: 0.5893 0.3772 0.0000  4 N 1.74-1.79
Be: 0.9107 0.8772 0.5000  4 N 1.74-1.79
W: 0.0628 0.6626 0.0293  4 N 1.93-2.10
W: 0.4372 0.1626 0.5293  4 N 1.93-2.10
W: 0.5628 0.8374 0.0293  4 N 1.93-2.10
W: 0.9372 0.3374 0.5293  4 N 1.93-2.10
N: 0.0665 0.6338 0.4079  2 Be 1.76-1.79, 1 W 1.93
N: 0.0795 0.0838 0.3390  2 Be 1.74
N: 0.4205 0.5838 0.8390  2 Be 1.74
N: 0.4335 0.1338 0.9079  2 Be 1.76-1.79, 1 W 1.93
N: 0.5665 0.8662 0.4079  2 Be 1.76-1.79, 1 W 1.93
N: 0.5795 0.4162 0.3390  2 Be 1.74
N: 0.9205 0.9162 0.8390  2 Be 1.74
N: 0.9335 0.3662 0.9079  2 Be 1.76-1.79, 1 W 1.93

This record from OQMD describes BaNpPb after structural relaxation. The functional is GGA-PBE.

Output
Excess energy over the best structure of this formula in the dataset   431 meV/atom

a = 5.4426 Å, b = 5.4426 Å, c = 5.4426 Å
α = 60.00°, β = 60.00°, γ = 60.00°
Closest atoms and distances in Å follow each position.
Positions (direct):
Ba: 0.0000 0.0000 0.0000  4 Pb 3.33, 4 Np 3.33
Np: 0.7500 0.7500 0.7500  4 Ba 3.33
Pb: 0.2500 0.2500 0.2500  4 Ba 3.33

This record from OQMD describes Cd2TeO after structural relaxation. The functional is GGA-PBE.

Output
Excess energy over the best structure of this formula in the dataset   260 meV/atom

a = 7.7590 Å, b = 7.7590 Å, c = 5.9080 Å
α = 90.00°, β = 90.00°, γ = 153.17°
Closest atoms and distances in Å follow each position.
Positions (direct):
Cd: 0.0511 0.9489 0.7500  4 O 2.45
Cd: 0.3718 0.6282 0.7500  2 O 2.43
Cd: 0.6282 0.3718 0.2500  2 O 2.43
Cd: 0.9489 0.0511 0.2500  4 O 2.45
Te: 0.2914 0.7086 0.2500  6 Cd 2.98-3.19
Te: 0.7086 0.2914 0.7500  6 Cd 2.98-3.19
O: 0.5000 0.5000 0.0000  6 Cd 2.43-2.45
O: 0.5000 0.5000 0.5000  6 Cd 2.43-2.45

This record from OQMD describes Pr3Mg3Tl2Hg after structural relaxation. The functional is GGA-PBE.

Output
E   -27.580 eV per formula unit

a = 7.7260 Å, b = 7.7260 Å, c = 4.7532 Å
α = 90.00°, β = 90.00°, γ = 120.00°
Closest atoms and distances in Å follow each position.
Positions (direct):
Pr: 0.0000 0.5838 0.0000  1 Hg 3.22, 4 Tl 3.32, 2 Mg 3.58
Pr: 0.4162 0.4162 0.0000  1 Hg 3.22, 4 Tl 3.32, 2 Mg 3.58
Pr: 0.5838 0.0000 0.0000  1 Hg 3.22, 4 Tl 3.32, 2 Mg 3.58
Mg: 0.0000 0.2375 0.5000  2 Hg 3.00, 2 Tl 3.01, 2 Mg 3.18
Mg: 0.2375 0.0000 0.5000  2 Hg 3.00, 2 Tl 3.01, 2 Mg 3.18
Mg: 0.7625 0.7625 0.5000  2 Hg 3.00, 2 Tl 3.01, 2 Mg 3.18
Tl: 0.3333 0.6667 0.5000  3 Mg 3.01, 6 Pr 3.32
Tl: 0.6667 0.3333 0.5000  3 Mg 3.01, 6 Pr 3.32
Hg: 0.0000 0.0000 0.0000  6 Mg 3.00, 3 Pr 3.22

This record from OQMD describes PrSmBi2S2 after structural relaxation. The functional is GGA-PBE.

Output
E   -33.704 eV per formula unit

a = 4.2666 Å, b = 4.2666 Å, c = 8.9686 Å
α = 90.00°, β = 90.00°, γ = 90.00°
Closest atoms and distances in Å follow each position.
Positions (direct):
Pr: 0.0000 0.0000 0.0000  5 S 2.84-3.06
Sm: 0.5000 0.5000 0.3699  5 S 2.78-3.05
Bi: 0.0000 0.5000 0.6826  4 Bi 3.02
Bi: 0.5000 0.0000 0.6826  4 Bi 3.02
S: 0.0000 0.0000 0.3164  1 Pr 2.84, 4 Sm 3.05
S: 0.5000 0.5000 0.0600  1 Sm 2.78, 4 Pr 3.06

This record from OQMD describes Li3Ni after structural relaxation. The functional is GGA-PBE.

Output
E   -10.942 eV per formula unit

a = 5.3200 Å, b = 5.3200 Å, c = 4.3570 Å
α = 90.00°, β = 90.00°, γ = 120.00°
Closest atoms and distances in Å follow each position.
Positions (direct):
Li: 0.1751 0.3503 0.2500  8 Li 2.52-2.80, 4 Ni 2.62-2.66
Li: 0.1751 0.8249 0.2500  8 Li 2.52-2.80, 4 Ni 2.62-2.66
Li: 0.3503 0.1751 0.7500  8 Li 2.52-2.80, 4 Ni 2.62-2.66
Li: 0.6497 0.8249 0.2500  8 Li 2.52-2.80, 4 Ni 2.62-2.66
Li: 0.8249 0.1751 0.7500  8 Li 2.52-2.80, 4 Ni 2.62-2.66
Li: 0.8249 0.6497 0.7500  8 Li 2.52-2.80, 4 Ni 2.62-2.66
Ni: 0.3333 0.6667 0.7500  12 Li 2.62-2.66
Ni: 0.6667 0.3333 0.2500  12 Li 2.62-2.66

This record from OQMD describes AlSbMoH6 after structural relaxation. The functional is GGA-PBE.

Output
E   -31.177 eV per formula unit

a = 4.6656 Å, b = 4.6656 Å, c = 4.6656 Å
α = 60.00°, β = 60.00°, γ = 60.00°
Closest atoms and distances in Å follow each position.
Positions (direct):
Al: 0.0000 0.0000 0.0000  12 H 2.42
Sb: 0.2500 0.2500 0.2500  6 H 2.28
Mo: 0.5000 0.5000 0.5000  12 H 2.42
H: 0.5960 0.5960 0.9040  4 H 1.44
H: 0.5960 0.9040 0.5960  4 H 1.44
H: 0.5960 0.9040 0.9040  4 H 1.44
H: 0.9040 0.5960 0.5960  4 H 1.44
H: 0.9040 0.5960 0.9040  4 H 1.44
H: 0.9040 0.9040 0.5960  4 H 1.44

This record from OQMD describes SmScO3 after structural relaxation. The functional is GGA-PBE.

Output
E   -43.046 eV per formula unit

a = 5.9456 Å, b = 5.9456 Å, c = 5.9456 Å
α = 56.25°, β = 56.25°, γ = 56.25°
Closest atoms and distances in Å follow each position.
Positions (direct):
Sm: 0.1339 0.1339 0.1339  6 O 2.26-2.44
Sm: 0.8661 0.8661 0.8661  6 O 2.26-2.44
Sc: 0.3504 0.3504 0.3504  6 O 2.09-2.19
Sc: 0.6496 0.6496 0.6496  6 O 2.09-2.19
O: 0.0538 0.4678 0.7158  2 Sc 2.09-2.19, 1 Sm 2.26
O: 0.2842 0.9462 0.5322  2 Sc 2.09-2.19, 1 Sm 2.26
O: 0.4678 0.7158 0.0538  2 Sc 2.09-2.19, 1 Sm 2.26
O: 0.5322 0.2842 0.9462  2 Sc 2.09-2.19, 1 Sm 2.26
O: 0.7158 0.0538 0.4678  2 Sc 2.09-2.19, 1 Sm 2.26
O: 0.9462 0.5322 0.2842  2 Sc 2.09-2.19, 1 Sm 2.26

This record from OQMD describes LiCdBiPt after structural relaxation. The functional is GGA-PBE.

Output
Excess energy over the best structure of this formula in the dataset   0 meV/atom

a = 4.7967 Å, b = 4.7967 Å, c = 4.7967 Å
α = 60.00°, β = 60.00°, γ = 60.00°
Closest atoms and distances in Å follow each position.
Positions (direct):
Li: 0.0000 0.0000 0.0000  4 Cd 2.94, 4 Bi 2.94
Cd: 0.7500 0.7500 0.7500  4 Li 2.94, 4 Pt 2.94
Bi: 0.2500 0.2500 0.2500  4 Li 2.94, 4 Pt 2.94
Pt: 0.5000 0.5000 0.5000  4 Cd 2.94, 4 Bi 2.94